(1)
# AcNdDyHo | the Alexandria database | PBE | optimized geometry
data_AcNdDyHo
_cell_length_a 6.410
_cell_length_b 3.696
_cell_length_c 12.160
_cell_angle_alpha 90.00
_cell_angle_beta 100.08
_cell_angle_gamma 90.00
_symmetry_space_group_name_H-M 'C 1 m 1'
_symmetry_Int_Tables_number 8
loop_
_symmetry_equiv_pos_as_xyz
'x,y,z'
'x,-y,z'
'x+1/2,y+1/2,z'
'x+1/2,-y+1/2,z'
loop_
_atom_site_label
_atom_site_fract_x
_atom_site_fract_y
_atom_site_fract_z
Ac1 0.000 0.000 0.000
Nd1 0.243 0.000 0.731
Dy1 0.417 0.000 0.257
Ho1 0.331 0.500 0.491
# Energy of formation from the pure elements (eV/atom): 0.06
# Energy above the lowest structure with this stoichiometry (eV/f.u.): 0.000
# Raw total energy (eV/atom): -4.454


(2)
# HoTm2Rh | the Alexandria database | PBE | optimized geometry
data_HoTm2Rh
_cell_length_a 3.781
_cell_length_b 11.817
_cell_length_c 9.201
_cell_angle_alpha 90.00
_cell_angle_beta 90.00
_cell_angle_gamma 90.00
_symmetry_space_group_name_H-M 'C m c m'
_symmetry_Int_Tables_number 63
_symmetry_space_group_name_Hall '-C 2c 2'
loop_
_atom_site_label
_atom_site_fract_x
_atom_site_fract_y
_atom_site_fract_z
Ho1 0.000 0.074 0.250
Tm1 0.000 0.361 0.067
Rh1 0.000 0.247 0.750
# Energy of formation from the pure elements (eV/atom): -0.53
# Energy above the lowest structure with this stoichiometry (eV/f.u.): 0.123
# Raw total energy (eV/atom): -5.748


What did the first record say?
# AcNdDyHo | the Alexandria database | PBE | optimized geometry
data_AcNdDyHo
_cell_length_a 6.410
_cell_length_b 3.696
_cell_length_c 12.160
_cell_angle_alpha 90.00
_cell_angle_beta 100.08
_cell_angle_gamma 90.00
_symmetry_space_group_name_H-M 'C 1 m 1'
_symmetry_Int_Tables_number 8
loop_
_symmetry_equiv_pos_as_xyz
'x,y,z'
'x,-y,z'
'x+1/2,y+1/2,z'
'x+1/2,-y+1/2,z'
loop_
_atom_site_label
_atom_site_fract_x
_atom_site_fract_y
_atom_site_fract_z
Ac1 0.000 0.000 0.000
Nd1 0.243 0.000 0.731
Dy1 0.417 0.000 0.257
Ho1 0.331 0.500 0.491
# Energy of formation from the pure elements (eV/atom): 0.06
# Energy above the lowest structure with this stoichiometry (eV/f.u.): 0.000
# Raw total energy (eV/atom): -4.454


Question: What is the raw total energy in the second record?
Answer: -5.748 eV/atom


Question: What is the energy above the lowest structure with this stoichiometry in the second record?
Answer: 0.123 eV/f.u.